First-principles (PBE) data for a geometry-optimized Rb2HgTeBr6 structure, as listed in Alexandria via LeMat-Bulk.

Cell and atoms, written as POSCAR:
```
Rb2HgTeBr6
1.0
8.2664 0.0000 0.0000
0.0000 8.2664 0.0000
4.1332 4.1332 5.8280
Rb Br Te Hg
2 6 1 1
Direct
0.7500 0.2500 0.5000 Rb
0.2500 0.7500 0.5000 Rb
0.2600 0.2600 0.4800 Br
0.2621 0.7379 0.0000 Br
0.7379 0.7379 0.0000 Br
0.7379 0.2621 0.0000 Br
0.2621 0.2621 0.0000 Br
0.7400 0.7400 0.5200 Br
0.5000 0.5000 0.0000 Te
0.0000 0.0000 0.0000 Hg
```

## Properties
As for the space group: I4/mmm, No. 139. The total energy is -24.346 eV/cell.